No. 1
Sr8Cd2Hg | PBE | optimized geometry

Unit cell a=5.799 b=8.056 c=10.769 alpha=106.68 beta=105.62 gamma=90.00
Element x y z (fractional)
Sr  0.207  0.315  0.413
Sr  0.594  0.446  0.188
Sr  0.970  0.209  0.939
Sr  0.336  0.033  0.671
Sr  0.406  0.554  0.812
Hg  0.500  0.000  0.000
Cd  0.817  0.287  0.633
Sr  0.793  0.685  0.587
Sr  0.664  0.967  0.329
Sr  0.030  0.791  0.061
Cd  0.183  0.713  0.367

Calculated values
- Total moment: 0.0 Bohr magnetons per cell
- DOS at the Fermi energy: 14.3 states/eV/f.u.
- E_tot: -17.80 eV per cell
- Energy above the lowest structure with this stoichiometry: 0 meV per atom
- ΔH_f (0 K): -0.20 eV/atom

No. 2
AcPrWN4 | PBE | optimized geometry

Unit cell a=4.003 b=4.003 c=7.147 alpha=106.26 beta=106.26 gamma=90.00
Element x y z (fractional)
N  0.842  0.842  0.684
N  0.171  0.171  0.342
N  0.999  0.499  0.998
N  0.499  0.999  0.998
W  0.990  0.990  0.980
Pr  0.354  0.354  0.708
Ac  0.645  0.645  0.290

Calculated values
- Total moment: 0.0 Bohr magnetons per cell
- DOS at the Fermi energy: 1.7 states/eV/f.u.
- E_tot: -62.38 eV per cell

No. 3
Rb2H6Pt | PBE | optimized geometry

Unit cell a=5.321 b=5.321 c=10.923 alpha=90.00 beta=90.00 gamma=90.00
Element x y z (fractional)
H  0.154  0.846  0.393
H  0.154  0.846  0.607
H  0.281  0.719  0.000
H  0.654  0.654  0.107
H  0.654  0.654  0.893
H  0.219  0.219  0.500
H  0.846  0.154  0.393
Rb  0.000  0.000  0.161
Pt  0.000  0.000  0.500
Pt  0.500  0.500  0.000
H  0.346  0.346  0.107
Rb  0.500  0.500  0.339
H  0.846  0.154  0.607
Rb  0.500  0.500  0.661
H  0.781  0.781  0.500
H  0.346  0.346  0.893
H  0.719  0.281  0.000
Rb  0.000  0.000  0.839

Calculated values
- Total moment: 0.0 Bohr magnetons per cell
- DOS at the Fermi energy: 0.0 states/eV/f.u.
- E_tot: -61.81 eV per cell
- Energy above the lowest structure with this stoichiometry: 96 meV per atom

No. 4
YReSi | PBE | optimized geometry

Unit cell a=3.510 b=3.510 c=5.620 alpha=90.00 beta=90.00 gamma=120.00
Element x y z (fractional)
Y  0.333  0.667  0.656
Re  0.000  0.000  0.057
Si  0.667  0.333  0.287

Calculated values
- Total moment: 0.0 Bohr magnetons per cell
- DOS at the Fermi energy: 1.9 states/eV/f.u.
- E_tot: -24.17 eV per cell

No. 5
Nb2ReBiPt | PBE | optimized geometry

Unit cell a=5.090 b=4.796 c=5.090 alpha=90.00 beta=90.00 gamma=90.00
Element x y z (fractional)
Nb  0.500  0.000  0.000
Bi  0.000  0.000  0.000
Nb  0.000  0.000  0.500
Pt  0.000  0.500  0.000
Re  0.500  0.500  0.500

Calculated values
- Total moment: 0.0 Bohr magnetons per cell
- DOS at the Fermi energy: 4.9 states/eV/f.u.
- E_tot: -30.58 eV per cell
- ΔH_f (0 K): 2.39 eV/atom

No. 6
TlCrSi2 | PBE | optimized geometry

Unit cell a=5.178 b=5.178 c=5.178 alpha=139.92 beta=122.22 gamma=72.65
Element x y z (fractional)
Cr  0.220  0.720  0.500
Si  0.989  0.989  0.000
Si  0.788  0.288  0.500
Tl  0.504  0.504  0.000

Calculated values
- Total moment: 3.5 Bohr magnetons per cell
- DOS at the Fermi energy: 1.8 states/eV/f.u.
- E_tot: -20.53 eV per cell
- Energy above the lowest structure with this stoichiometry: 339 meV per atom

No. 7
YZr2Co | PBE | optimized geometry

Unit cell a=3.272 b=3.273 c=8.081 alpha=90.00 beta=90.00 gamma=90.00
Element x y z (fractional)
Zr  0.500  0.500  0.295
Zr  0.000  0.000  0.033
Co  0.000  0.000  0.471
Y  0.500  0.500  0.701

Calculated values
- Total moment: 0.9 Bohr magnetons per cell
- DOS at the Fermi energy: 4.6 states/eV/f.u.
- E_tot: -30.95 eV per cell
- Energy above the lowest structure with this stoichiometry: 79 meV per atom
- ΔH_f (0 K): -0.07 eV/atom

No. 8
Y4Ho2Cd | PBE | optimized geometry

Unit cell a=3.512 b=8.462 c=8.437 alpha=116.76 beta=102.01 gamma=90.00
Element x y z (fractional)
Y  0.919  0.297  0.838
Y  0.081  0.703  0.162
Y  0.632  0.392  0.263
Cd  0.000  0.000  0.000
Ho  0.218  0.140  0.437
Y  0.368  0.608  0.737
Ho  0.782  0.860  0.563

Calculated values
- Total moment: 0.0 Bohr magnetons per cell
- DOS at the Fermi energy: 10.4 states/eV/f.u.
- E_tot: -35.64 eV per cell
- ΔH_f (0 K): 0.04 eV/atom